P) Density functional theory data (PBE) for a relaxed LiNi2H crystal.

Calculated density = 5507 kg/m³
Fermi-level density of states = 0.58 states/eV/atom
Size of the total moment = 0.00 μB per formula unit

Cell: 2.5209 2.5209 20.5990 Å, 90.00 90.00 120.00°
Space group R-3m (No. 166, hexagonal axes)
Inequivalent atoms, fractional coordinates:
Li 0.0000 0.0000 0.0000 x3
Ni 0.0000 0.0000 0.1124 x6
H 0.0000 0.0000 0.5000 x3



Q) Density functional theory data (PBE) for a relaxed LiNi2H crystal.

Calculated density = 5877 kg/m³
Fermi-level density of states = 0.47 states/eV/atom
Size of the total moment = 0.00 μB per formula unit

Cell: 5.213 5.213 5.213 Å, 90.00 90.00 90.00°
Space group Fm-3m (No. 225)
Inequivalent atoms, fractional coordinates:
Li 0.000 0.000 0.000 x4
Ni 0.250 0.250 0.250 x8
H 0.000 0.000 0.500 x4



Which structure is most stable, and how do the rest compare? From most to least stable: P), Q).



P) Density functional theory data (PBE) for a relaxed Li2NiH5 crystal.

Calculated density = 1751 kg/m³
Fermi-level density of states = 0.16 states/eV/atom
Size of the total moment = 0.00 μB per formula unit

Cell: 3.585 8.937 9.192 Å, 90.00 90.00 90.00°
Space group Fmmm (No. 69)
Inequivalent atoms, fractional coordinates:
Li 0.000 0.000 0.180 x8
Ni 0.000 0.000 0.500 x4
H 0.000 0.000 0.000 x4
H 0.000 0.120 0.380 x16



Q) Density functional theory data (PBE) for a relaxed Li2NiH5 crystal.

Calculated density = 1994 kg/m³
Fermi-level density of states = 0.08 states/eV/atom
Size of the total moment = 0.00 μB per formula unit

Cell: 3.485 9.008 8.236 Å, 90.00 90.00 90.00°
Space group Cmcm (No. 63)
Inequivalent atoms, fractional coordinates:
Li 0.000 0.151 0.081 x8
Ni 0.000 0.175 0.750 x4
H 0.000 0.053 0.625 x8
H 0.000 0.292 0.616 x8
H 0.000 0.323 0.250 x4



Which structure is most stable, and how do the rest compare? From most to least stable: Q), P).



P) Density functional theory data (PBE) for a relaxed LiNi2HPd crystal.

Calculated density = 7644 kg/m³
Fermi-level density of states = 0.70 states/eV/atom
Size of the total moment = 0.87 μB per formula unit

Cell: 3.558 3.558 3.976 Å, 90.00 90.00 90.00°
Space group P4/mmm (No. 123)
Inequivalent atoms, fractional coordinates:
Li 0.000 0.000 0.000 x1
Ni 0.000 0.500 0.500 x2
H 0.000 0.000 0.500 x1
Pd 0.500 0.500 0.000 x1



Q) Density functional theory data (PBE) for a relaxed LiNi2HPd crystal.

Calculated density = 7479 kg/m³
Fermi-level density of states = 0.74 states/eV/atom
Size of the total moment = 0.64 μB per formula unit

Cell: 3.581 3.581 4.012 Å, 90.00 90.00 90.00°
Space group P4/mmm (No. 123)
Inequivalent atoms, fractional coordinates:
Li 0.000 0.000 0.000 x1
Ni 0.000 0.500 0.500 x2
H 0.500 0.500 0.500 x1
Pd 0.500 0.500 0.000 x1



Which structure is most stable, and how do the rest compare? From most to least stable: P), Q).



P) Density functional theory data (PBE) for a relaxed LiNi2HRh crystal.

Calculated density = 7557 kg/m³
Fermi-level density of states = 0.75 states/eV/atom
Size of the total moment = 0.67 μB per formula unit

Cell: 3.626 3.626 3.814 Å, 90.00 90.00 90.00°
Space group P4/mmm (No. 123)
Inequivalent atoms, fractional coordinates:
Li 0.000 0.000 0.000 x1
Ni 0.000 0.500 0.500 x2
H 0.500 0.500 0.500 x1
Rh 0.500 0.500 0.000 x1



Q) Density functional theory data (PBE) for a relaxed LiNi2HRh crystal.

Calculated density = 7771 kg/m³
Fermi-level density of states = 0.81 states/eV/atom
Size of the total moment = 0.00 μB per formula unit

Cell: 3.545 3.545 3.880 Å, 90.00 90.00 90.00°
Space group P4/mmm (No. 123)
Inequivalent atoms, fractional coordinates:
Li 0.000 0.000 0.000 x1
Ni 0.000 0.500 0.500 x2
H 0.000 0.000 0.500 x1
Rh 0.500 0.500 0.000 x1



Which structure is most stable, and how do the rest compare? From most to least stable: P), Q).



P) Density functional theory data (PBE) for a relaxed Sr2LiNiH crystal.

Calculated density = 3698 kg/m³
Fermi-level density of states = 0.48 states/eV/atom
Size of the total moment = 0.00 μB per formula unit

Cell: 5.193 5.193 4.029 Å, 90.00 90.00 90.00°
Space group P4/mmm (No. 123)
Inequivalent atoms, fractional coordinates:
Sr 0.000 0.500 0.000 x2
Li 0.000 0.000 0.500 x1
Ni 0.500 0.500 0.500 x1
H 0.000 0.000 0.000 x1



Q) Density functional theory data (PBE) for a relaxed Sr2LiNiH crystal.

Calculated density = 3589 kg/m³
Fermi-level density of states = 0.56 states/eV/atom
Size of the total moment = 0.00 μB per formula unit

Cell: 5.486 5.486 3.719 Å, 90.00 90.00 90.00°
Space group P4/mmm (No. 123)
Inequivalent atoms, fractional coordinates:
Sr 0.000 0.500 0.000 x2
Li 0.000 0.000 0.500 x1
Ni 0.500 0.500 0.500 x1
H 0.500 0.500 0.000 x1



Which structure is most stable, and how do the rest compare? From most to least stable: P), Q).



P) Density functional theory data (PBE) for a relaxed LiY2NiH crystal.

Calculated density = 4783 kg/m³
Fermi-level density of states = 0.44 states/eV/atom
Size of the total moment = 0.00 μB per formula unit

Cell: 4.860 4.860 3.593 Å, 90.00 90.00 90.00°
Space group P4/mmm (No. 123)
Inequivalent atoms, fractional coordinates:
Li 0.000 0.000 0.000 x1
Y 0.000 0.500 0.500 x2
Ni 0.500 0.500 0.000 x1
H 0.000 0.000 0.500 x1



Q) Density functional theory data (PBE) for a relaxed LiY2NiH crystal.

Calculated density = 4650 kg/m³
Fermi-level density of states = 0.85 states/eV/atom
Size of the total moment = 0.00 μB per formula unit

Cell: 4.936 4.936 3.583 Å, 90.00 90.00 90.00°
Space group P4/mmm (No. 123)
Inequivalent atoms, fractional coordinates:
Li 0.000 0.000 0.000 x1
Y 0.000 0.500 0.500 x2
Ni 0.500 0.500 0.000 x1
H 0.500 0.500 0.500 x1



Which structure is most stable, and how do the rest compare? From most to least stable: P), Q).